[1]
# CsTlSnPSe, relaxed, DFT PBE
# - Formation energy (no corrections): -0.293 eV per atom
# - Calculated density: 5.0 g cm⁻³
# - Calculated volume: 37.261 Å³ per atom
data_CsTlSnPSe
_space_group_name_H-M_alt 'C 1 m 1'
_space_group_IT_number 8
_space_group_name_Hall 'C -2y'
_cell_length_a 12.603
_cell_length_b 4.099
_cell_length_c 9.439
_cell_angle_alpha 90.00
_cell_angle_beta 130.17
_cell_angle_gamma 90.00
loop_
_atom_site_label
_atom_site_fract_x
_atom_site_fract_y
_atom_site_fract_z
Cs1 0.000 0.000 0.000
Tl1 0.055 0.500 0.470
Sn1 0.355 0.500 0.477
P1 0.267 0.000 0.543
Se1 0.294 0.500 0.156

=====

[2]
# NdTm2Cd, relaxed, DFT PBE
# - Calculated density: 8.3 g cm⁻³
# - Calculated volume: 29.639 Å³ per atom
# - Energy relative to the elements: -0.076 eV/atom
data_NdTm2Cd
_space_group_name_H-M_alt 'R -3 m'
_space_group_IT_number 166
_space_group_name_Hall '-R 3 2"'
_cell_length_a 3.5700
_cell_length_b 3.5700
_cell_length_c 32.2246
_cell_angle_alpha 90.00
_cell_angle_beta 90.00
_cell_angle_gamma 120.00
loop_
_atom_site_label
_atom_site_fract_x
_atom_site_fract_y
_atom_site_fract_z
Nd1 0.0000 0.0000 0.0000
Tm1 0.0000 0.0000 0.2430
Cd1 0.0000 0.0000 0.5000

=====

[3]
# Ta2CoPb, relaxed, DFT PBE
# - Calculated density: 13.0 g cm⁻³
# - Calculated volume: 20.077 Å³ per atom
# - Energy relative to the elements: 0.339 eV/atom
data_Ta2CoPb
_space_group_name_H-M_alt 'R -3 m'
_space_group_IT_number 166
_space_group_name_Hall '-R 3 2"'
_cell_length_a 3.5577
_cell_length_b 3.5577
_cell_length_c 21.9785
_cell_angle_alpha 90.00
_cell_angle_beta 90.00
_cell_angle_gamma 120.00
loop_
_atom_site_label
_atom_site_fract_x
_atom_site_fract_y
_atom_site_fract_z
Ta1 0.0000 0.0000 0.2223
Co1 0.0000 0.0000 0.5000
Pb1 0.0000 0.0000 0.0000

=====

[4]
# Fe2SnPd, relaxed, DFT PBE
# - Calculated density: 9.4 g cm⁻³
# - Calculated volume: 14.887 Å³ per atom
# - Energy relative to the elements: -0.138 eV/atom
data_Fe2SnPd
_space_group_name_H-M_alt 'P 4/n m m'
_space_group_IT_number 129
_cell_length_a 4.161
_cell_length_b 4.161
_cell_length_c 6.879
_cell_angle_alpha 90.00
_cell_angle_beta 90.00
_cell_angle_gamma 90.00
loop_
_space_group_symop_operation_xyz
'x,y,z'
'-x,-y,-z'
'-y+1/2,x,z'
'y+1/2,-x,-z'
'-x+1/2,-y+1/2,z'
'x+1/2,y+1/2,-z'
'y,-x+1/2,z'
'-y,x+1/2,-z'
'x+1/2,-y,-z'
'-x+1/2,y,z'
'-y,-x,-z'
'y,x,z'
'-x,y+1/2,-z'
'x,-y+1/2,z'
'y+1/2,x+1/2,-z'
'-y+1/2,-x+1/2,z'
loop_
_atom_site_label
_atom_site_fract_x
_atom_site_fract_y
_atom_site_fract_z
Fe1 0.250 0.250 0.209
Fe2 0.250 0.750 0.000
Sn1 0.250 0.250 0.758
Pd1 0.250 0.750 0.500

=====

[5]
# AcNdCu4, relaxed, DFT PBE
# - Calculated density: 8.9 g cm⁻³
# - Calculated volume: 19.403 Å³ per atom
# - Energy relative to the elements: -0.007 eV/atom
data_AcNdCu4
_space_group_name_H-M_alt 'F -4 3 m'
_space_group_IT_number 216
_space_group_name_Hall 'F -4 2 3'
_cell_length_a 7.751
_cell_length_b 7.751
_cell_length_c 7.751
_cell_angle_alpha 90.00
_cell_angle_beta 90.00
_cell_angle_gamma 90.00
loop_
_atom_site_label
_atom_site_fract_x
_atom_site_fract_y
_atom_site_fract_z
Ac1 0.000 0.000 0.000
Nd1 0.250 0.250 0.250
Cu1 0.123 0.123 0.623

=====

[6]
# Mg5Cd2Ag2Hg, relaxed, DFT PBE
# - Calculated density: 5.8 g cm⁻³
# - Calculated volume: 21.731 Å³ per atom
# - Energy relative to the elements: -0.099 eV/atom
data_Mg5Cd2Ag2Hg
_space_group_name_H-M_alt 'P 4/m b m'
_space_group_IT_number 127
_space_group_name_Hall '-P 4 2ab'
_cell_length_a 10.577
_cell_length_b 10.577
_cell_length_c 3.885
_cell_angle_alpha 90.00
_cell_angle_beta 90.00
_cell_angle_gamma 90.00
loop_
_atom_site_label
_atom_site_fract_x
_atom_site_fract_y
_atom_site_fract_z
Mg1 0.000 0.500 0.000
Mg2 0.077 0.197 0.000
Cd1 0.168 0.668 0.500
Ag1 0.129 0.371 0.500
Hg1 0.000 0.000 0.500

=====

Number 1: size of the total moment 0.000 μB/atom, energy -17.58 eV per formula unit. Number 2: size of the total moment 0.000 μB/atom, energy -14.93 eV per formula unit. Number 3: size of the total moment 0.000 μB/atom, energy -33.16 eV per formula unit. Number 4: size of the total moment 1.247 μB/atom, energy -26.67 eV per formula unit. Number 5: size of the total moment 0.000 μB/atom, energy -25.30 eV per formula unit. Number 6: size of the total moment 0.000 μB/atom, energy -16.80 eV per formula unit.